[1]
Material: ZrTaB4
Method: DFT, SCAN
State: single point on PBEsol structure

a = 3.1190 Å, b = 3.1190 Å, c = 6.7836 Å
α = 90.00°, β = 90.00°, γ = 120.00°
Space group P6/mmm (No. 191)
Symmetry-distinct sites (fractional):
Zr1 0.0000 0.0000 0.0000 [1 per cell]
Ta1 0.0000 0.0000 0.5000 [1 per cell]
B1 0.3333 0.6667 0.2592 [4 per cell]

Summary:
The value obtained for the density is 9.2 Mg/m³. The value obtained for the total magnetic moment is 0.000 μB/atom. The value obtained for the formation energy is -867 meV per atom.



[2]
Material: Pr3Si3Ni
Method: DFT, SCAN
State: single point on PBEsol structure

a = 4.0018 Å, b = 4.2787 Å, c = 17.9108 Å
α = 90.00°, β = 90.00°, γ = 90.00°
Space group Imm2 (No. 44)
Symmetry-distinct sites (fractional):
Pr1 0.0000 0.0000 0.0000 [2 per cell]
Pr2 0.0000 0.0000 0.3666 [2 per cell]
Pr3 0.0000 0.5000 0.6809 [2 per cell]
Si1 0.0000 0.0000 0.5489 [2 per cell]
Si2 0.0000 0.0000 0.8194 [2 per cell]
Si3 0.0000 0.5000 0.2385 [2 per cell]
Ni1 0.0000 0.5000 0.1134 [2 per cell]

Summary:
The value obtained for the density is 6.1 Mg/m³. The value obtained for the total magnetic moment is 0.095 μB/atom. As for the uncorrected formation energy: -5.2 eV per formula unit.



[3]
Material: TeOs4Cl
Method: DFT, SCAN
State: single point on PBEsol structure

a = 7.4330 Å, b = 7.4330 Å, c = 7.4330 Å
α = 90.00°, β = 90.00°, γ = 90.00°
Space group F-43m (No. 216)
Symmetry-distinct sites (fractional):
Te1 0.0000 0.0000 0.0000 [4 per cell]
Os1 0.1256 0.1256 0.3744 [16 per cell]
Cl1 0.2500 0.2500 0.7500 [4 per cell]

Summary:
The value obtained for the density is 14.9 Mg/m³. The value obtained for the total magnetic moment is 0.590 μB/atom. As for the uncorrected formation energy: 9.1 eV per formula unit.



[4]
Material: InGeI2O
Method: DFT, SCAN
State: single point on PBEsol structure

a = 5.9254 Å, b = 5.9254 Å, c = 3.7546 Å
α = 90.00°, β = 90.00°, γ = 90.00°
Space group P4/mmm (No. 123)
Symmetry-distinct sites (fractional):
In1 0.0000 0.0000 0.0000 [1 per cell]
Ge1 0.5000 0.5000 0.5000 [1 per cell]
I1 0.0000 0.5000 0.5000 [2 per cell]
O1 0.5000 0.5000 0.0000 [1 per cell]

Summary:
The value obtained for the density is 5.8 Mg/m³. The value obtained for the total magnetic moment is 0.000 μB/atom. As for the uncorrected formation energy: -2.0 eV per formula unit.



[5]
Material: AlIn2Fe
Method: DFT, SCAN
State: single point on PBEsol structure

a = 2.7677 Å, b = 4.4538 Å, c = 12.2219 Å
α = 90.00°, β = 90.00°, γ = 90.00°
Space group Imm2 (No. 44)
Symmetry-distinct sites (fractional):
Al1 0.0000 0.0000 0.0000 [2 per cell]
In1 0.0000 0.0000 0.3660 [2 per cell]
In2 0.0000 0.5000 0.1740 [2 per cell]
Fe1 0.0000 0.5000 0.6690 [2 per cell]

Summary:
The value obtained for the density is 6.9 Mg/m³. The value obtained for the total magnetic moment is 0.449 μB/atom. The value obtained for the formation energy is 117 meV per atom.



[6]
Material: TaCrCd2I
Method: DFT, SCAN
State: single point on PBEsol structure

a = 5.4606 Å, b = 5.4606 Å, c = 5.0332 Å
α = 90.00°, β = 90.00°, γ = 90.00°
Space group P4/mmm (No. 123)
Symmetry-distinct sites (fractional):
Ta1 0.0000 0.0000 0.0000 [1 per cell]
Cr1 0.5000 0.5000 0.0000 [1 per cell]
Cd1 0.0000 0.5000 0.5000 [2 per cell]
I1 0.0000 0.0000 0.5000 [1 per cell]

Summary:
The value obtained for the density is 6.5 Mg/m³. The value obtained for the total magnetic moment is 0.509 μB/atom. As for the uncorrected formation energy: 9.3 eV per formula unit.



[7]
Material: K2SiTc
Method: DFT, SCAN
State: single point on PBEsol structure

a = 4.0463 Å, b = 5.7149 Å, c = 10.3979 Å
α = 90.00°, β = 90.00°, γ = 90.00°
Space group Imm2 (No. 44)
Symmetry-distinct sites (fractional):
K1 0.0000 0.0000 0.0000 [2 per cell]
K2 0.0000 0.5000 0.1936 [2 per cell]
Si1 0.0000 0.0000 0.4027 [2 per cell]
Tc1 0.0000 0.5000 0.8074 [2 per cell]

Summary:
The value obtained for the density is 2.8 Mg/m³. The value obtained for the total magnetic moment is 0.400 μB/atom. As for the uncorrected formation energy: 2.5 eV per formula unit.



[8]
Material: ZrReMo
Method: DFT, SCAN
State: single point on PBEsol structure

a = 6.1343 Å, b = 6.1343 Å, c = 6.1343 Å
α = 90.00°, β = 90.00°, γ = 90.00°
Space group F-43m (No. 216)
Symmetry-distinct sites (fractional):
Zr1 0.0000 0.0000 0.0000 [4 per cell]
Re1 0.0000 0.0000 0.5000 [4 per cell]
Mo1 0.2500 0.2500 0.2500 [4 per cell]

Summary:
The value obtained for the density is 10.7 Mg/m³. The value obtained for the total magnetic moment is 0.000 μB/atom. The value obtained for the formation energy is 539 meV per atom.



[9]
Material: Be3Si3Ag2O12
Method: DFT, SCAN
State: single point on PBEsol structure

a = 8.1727 Å, b = 7.4711 Å, c = 16.3966 Å
α = 90.00°, β = 118.66°, γ = 90.00°
Space group P2_1/c (No. 14)
Symmetry-distinct sites (fractional):
Be1 0.0166 0.1839 0.4239 [4 per cell]
Be2 0.3041 0.1696 0.2361 [4 per cell]
Be3 0.3439 0.6689 0.4008 [4 per cell]
Si1 0.0270 0.7267 0.9135 [4 per cell]
Si2 0.3213 0.7188 0.7286 [4 per cell]
Si3 0.3406 0.2294 0.9088 [4 per cell]
Ag1 0.3040 0.0556 0.0651 [4 per cell]
Ag2 0.3506 0.5203 0.0691 [4 per cell]
O1 0.0694 0.2091 0.0216 [4 per cell]
O2 0.1008 0.5184 0.9505 [4 per cell]
O3 0.1161 0.2226 0.6945 [4 per cell]
O4 0.1251 0.2153 0.8800 [4 per cell]
O5 0.2158 0.6517 0.1340 [4 per cell]
O6 0.2178 0.6564 0.4502 [4 per cell]
O7 0.2456 0.7444 0.3005 [4 per cell]
O8 0.2622 0.5194 0.6813 [4 per cell]
O9 0.3862 0.1235 0.3474 [4 per cell]
O10 0.4302 0.0336 0.9007 [4 per cell]
O11 0.4535 0.2346 0.7151 [4 per cell]
O12 0.4580 0.2061 0.5220 [4 per cell]

Summary:
The value obtained for the density is 3.9 Mg/m³. The value obtained for the total magnetic moment is 0.039 μB/atom. As for the uncorrected formation energy: -41.9 eV per formula unit.



[10]
Material: BaTaMo4
Method: DFT, SCAN
State: single point on PBEsol structure

a = 7.6410 Å, b = 7.6410 Å, c = 7.6410 Å
α = 90.00°, β = 90.00°, γ = 90.00°
Space group F-43m (No. 216)
Symmetry-distinct sites (fractional):
Ba1 0.0000 0.0000 0.0000 [4 per cell]
Ta1 0.2500 0.2500 0.7500 [4 per cell]
Mo1 0.1246 0.1246 0.3754 [16 per cell]

Summary:
The value obtained for the density is 10.5 Mg/m³. The value obtained for the total magnetic moment is 0.000 μB/atom. The value obtained for the formation energy is 891 meV per atom.



[11]
Material: Hf2BeP
Method: DFT, SCAN
State: single point on PBEsol structure

a = 6.2942 Å, b = 6.2942 Å, c = 6.2942 Å
α = 90.00°, β = 90.00°, γ = 90.00°
Space group Fm-3m (No. 225)
Symmetry-distinct sites (fractional):
Hf1 0.2500 0.2500 0.2500 [8 per cell]
Be1 0.0000 0.0000 0.0000 [4 per cell]
P1 0.0000 0.0000 0.5000 [4 per cell]

Summary:
The value obtained for the density is 10.6 Mg/m³. The value obtained for the total magnetic moment is 0.000 μB/atom. The value obtained for the formation energy is -265 meV per atom.



[12]
Material: ZrPb2Br
Method: DFT, SCAN
State: single point on PBEsol structure

a = 3.4575 Å, b = 3.4575 Å, c = 29.4980 Å
α = 90.00°, β = 90.00°, γ = 120.00°
Space group R-3m (No. 166, hexagonal axes)
Symmetry-distinct sites (fractional):
Zr1 0.0000 0.0000 0.0000 [3 per cell]
Pb1 0.0000 0.0000 0.2504 [6 per cell]
Br1 0.0000 0.0000 0.5000 [3 per cell]

Summary:
For the energy relative to the lowest polymorph listed for this composition, the calculation gives 355 meV per atom. The value obtained for the density is 9.6 Mg/m³. The value obtained for the total magnetic moment is 0.000 μB/atom. As for the uncorrected formation energy: -0.2 eV per formula unit.



[13]
Material: ZrPt2W
Method: DFT, SCAN
State: single point on PBEsol structure

a = 2.8259 Å, b = 2.8259 Å, c = 8.2289 Å
α = 90.00°, β = 90.00°, γ = 90.00°
Space group P4mm (No. 99)
Symmetry-distinct sites (fractional):
Zr1 0.0000 0.0000 0.0000 [1 per cell]
Pt1 0.0000 0.0000 0.5008 [1 per cell]
Pt2 0.5000 0.5000 0.2513 [1 per cell]
W1 0.5000 0.5000 0.7241 [1 per cell]

Summary:
The value obtained for the density is 16.8 Mg/m³. The value obtained for the total magnetic moment is 0.072 μB/atom. The value obtained for the formation energy is -386 meV per atom.



[14]
Material: IrOsBr2
Method: DFT, SCAN
State: single point on PBEsol structure

a = 12.2547 Å, b = 2.9552 Å, c = 4.6103 Å
α = 90.00°, β = 97.09°, γ = 90.00°
Space group C2/m (No. 12)
Symmetry-distinct sites (fractional):
Ir1 0.0000 0.0000 0.0000 [2 per cell]
Os1 0.0000 0.5000 0.5000 [2 per cell]
Br1 0.1568 0.0000 0.7251 [4 per cell]

Summary:
For the energy relative to the lowest polymorph listed for this composition, the calculation gives 179 meV per atom. The value obtained for the density is 10.9 Mg/m³. The value obtained for the total magnetic moment is 0.000 μB/atom. As for the uncorrected formation energy: 3.6 eV per formula unit.



[15]
Material: MnMoO4
Method: DFT, SCAN
State: single point on PBEsol structure

a = 4.6785 Å, b = 5.6685 Å, c = 4.9289 Å
α = 90.00°, β = 90.74°, γ = 90.00°
Space group P2/c (No. 13)
Symmetry-distinct sites (fractional):
Mn1 0.0000 0.1773 0.2500 [2 per cell]
Mo1 0.5000 0.3184 0.7500 [2 per cell]
O1 0.2405 0.1224 0.5974 [4 per cell]
O2 0.2814 0.3920 0.0627 [4 per cell]

Summary:
The value obtained for the density is 5.5 Mg/m³. The value obtained for the total magnetic moment is 0.833 μB/atom. As for the uncorrected formation energy: -13.1 eV per formula unit.



[16]
Material: AlZn2Re
Method: DFT, SCAN
State: single point on PBEsol structure

a = 3.5949 Å, b = 3.5949 Å, c = 8.4856 Å
α = 90.00°, β = 90.00°, γ = 90.00°
Space group I4/mmm (No. 139)
Symmetry-distinct sites (fractional):
Al1 0.0000 0.0000 0.0000 [2 per cell]
Zn1 0.0000 0.5000 0.2500 [4 per cell]
Re1 0.0000 0.0000 0.5000 [2 per cell]

Summary:
The value obtained for the density is 10.4 Mg/m³. The value obtained for the total magnetic moment is 0.000 μB/atom. The value obtained for the formation energy is -96 meV per atom.



[17]
Material: LiGePdW2
Method: DFT, SCAN
State: single point on PBEsol structure

a = 4.2263 Å, b = 4.2263 Å, c = 4.0294 Å
α = 90.00°, β = 90.00°, γ = 90.00°
Space group P4/mmm (No. 123)
Symmetry-distinct sites (fractional):
Li1 0.0000 0.0000 0.0000 [1 per cell]
Ge1 0.0000 0.0000 0.5000 [1 per cell]
Pd1 0.5000 0.5000 0.5000 [1 per cell]
W1 0.0000 0.5000 0.0000 [2 per cell]

Summary:
The value obtained for the density is 12.8 Mg/m³. The value obtained for the total magnetic moment is 0.000 μB/atom. The value obtained for the formation energy is 1330 meV per atom.



[18]
Material: RuIOF2
Method: DFT, SCAN
State: single point on PBEsol structure

a = 4.7827 Å, b = 4.7827 Å, c = 3.9693 Å
α = 90.00°, β = 90.00°, γ = 90.00°
Space group P4/mmm (No. 123)
Symmetry-distinct sites (fractional):
Ru1 0.0000 0.0000 0.0000 [1 per cell]
I1 0.5000 0.5000 0.5000 [1 per cell]
O1 0.5000 0.5000 0.0000 [1 per cell]
F1 0.0000 0.5000 0.5000 [2 per cell]

Summary:
The value obtained for the density is 5.2 Mg/m³. The value obtained for the total magnetic moment is 0.619 μB/atom. As for the uncorrected formation energy: 1.5 eV per formula unit.



[19]
Material: NbIr2C
Method: DFT, SCAN
State: single point on PBEsol structure

a = 5.1571 Å, b = 5.1571 Å, c = 9.9680 Å
α = 90.00°, β = 90.00°, γ = 90.00°
Space group I-42d (No. 122)
Symmetry-distinct sites (fractional):
Nb1 0.0000 0.0000 0.0000 [4 per cell]
Ir1 0.1598 0.2500 0.6250 [8 per cell]
C1 0.0000 0.0000 0.5000 [4 per cell]

Summary:
The value obtained for the density is 12.3 Mg/m³. The value obtained for the total magnetic moment is 0.000 μB/atom. The value obtained for the formation energy is 273 meV per atom.



[20]
Material: SrTlGe3
Method: DFT, SCAN
State: single point on PBEsol structure

a = 5.5482 Å, b = 5.5482 Å, c = 5.5482 Å
α = 90.00°, β = 90.00°, γ = 90.00°
Space group Pm-3m (No. 221)
Symmetry-distinct sites (fractional):
Sr1 0.0000 0.0000 0.0000 [1 per cell]
Tl1 0.5000 0.5000 0.5000 [1 per cell]
Ge1 0.0000 0.0000 0.5000 [3 per cell]

Summary:
The value obtained for the density is 5.0 Mg/m³. The value obtained for the total magnetic moment is 0.000 μB/atom. The value obtained for the formation energy is 1121 meV per atom.